[1]
## Rb3YAs2O8 (PBE)

Data for Rb3YAs2O8 after structural relaxation.

CIF file:
```
data_Rb3YAs2O8
_chemical_formula_sum 'Rb3 Y1 As2 O8'
_cell_length_a 6.0007
_cell_length_b 6.0007
_cell_length_c 8.1759
_cell_angle_alpha 90.00
_cell_angle_beta 90.00
_cell_angle_gamma 120.00
_space_group_name_H-M_alt 'P -3 m 1'
_space_group_IT_number 164
_space_group_name_Hall '-P 3 2"'
loop_
_atom_site_label
_atom_site_fract_x
_atom_site_fract_y
_atom_site_fract_z
Rb1 0.0000 0.0000 0.0000
Rb2 0.3333 0.6667 0.7245
Y1 0.0000 0.0000 0.5000
As1 0.3333 0.6667 0.2630
O1 0.1771 0.3542 0.3382
O2 0.3333 0.6667 0.0571
```

Computed properties:
ΔE_f (raw): -1996 meV/atom
DFT total energy: -86.3 eV per cell
ρ: 4.06 g/cm3

***

[2]
## Rb2YAs2O6 (PBE)

Data for Rb2YAs2O6 after structural relaxation.

CIF file:
```
data_Rb2YAs2O6
_chemical_formula_sum 'Rb4 Y2 As4 O12'
_cell_length_a 10.224
_cell_length_b 6.039
_cell_length_c 7.370
_cell_angle_alpha 90.00
_cell_angle_beta 115.83
_cell_angle_gamma 90.00
_space_group_name_H-M_alt 'C 1 2/m 1'
_space_group_IT_number 12
loop_
_space_group_symop_operation_xyz
'x,y,z'
'-x,-y,-z'
'-x,y,-z'
'x,-y,z'
'x+1/2,y+1/2,z'
'-x+1/2,-y+1/2,-z'
'-x+1/2,y+1/2,-z'
'x+1/2,-y+1/2,z'
loop_
_atom_site_label
_atom_site_fract_x
_atom_site_fract_y
_atom_site_fract_z
Rb1 0.215 0.000 0.183
Y1 0.000 0.000 0.500
As1 0.070 0.500 0.221
O1 0.014 0.266 0.731
O2 0.245 0.000 0.606
```

Computed properties:
ΔE_f (raw): -1913 meV/atom
DFT total energy: -137.0 eV per cell
ρ: 4.10 g/cm3

***

[3]
## RbZnAs2O6 (PBE)

Data for RbZnAs2O6 after structural relaxation.

CIF file:
```
data_RbZnAs2O6
_chemical_formula_sum 'Rb4 Zn4 As8 O24'
_cell_length_a 11.255
_cell_length_b 11.107
_cell_length_c 6.475
_cell_angle_alpha 90.00
_cell_angle_beta 119.41
_cell_angle_gamma 90.00
_space_group_name_H-M_alt 'C 1 2/c 1'
_space_group_IT_number 15
loop_
_space_group_symop_operation_xyz
'x,y,z'
'-x,-y,-z'
'-x,y,-z+1/2'
'x,-y,z+1/2'
'x+1/2,y+1/2,z'
'-x+1/2,-y+1/2,-z'
'-x+1/2,y+1/2,-z+1/2'
'x+1/2,-y+1/2,z+1/2'
loop_
_atom_site_label
_atom_site_fract_x
_atom_site_fract_y
_atom_site_fract_z
Rb1 0.000 0.137 0.250
Zn1 0.000 0.214 0.750
As1 0.197 0.428 0.097
O1 0.114 0.292 0.053
O2 0.129 0.091 0.738
O3 0.152 0.485 0.792
```

Computed properties:
ΔE_f (raw): -1291 meV/atom
DFT total energy: -216.8 eV per cell
ρ: 3.74 g/cm3

***

[4]
## Rb2Zn2AsO6 (PBE)

Data for Rb2Zn2AsO6 after structural relaxation.

CIF file:
```
data_Rb2Zn2AsO6
_chemical_formula_sum 'Rb6 Zn6 As3 O18'
_cell_length_a 5.7795
_cell_length_b 5.7795
_cell_length_c 18.2213
_cell_angle_alpha 90.00
_cell_angle_beta 90.00
_cell_angle_gamma 120.00
_space_group_name_H-M_alt 'R -3 m'
_space_group_IT_number 166
_space_group_name_Hall '-R 3 2"'
loop_
_atom_site_label
_atom_site_fract_x
_atom_site_fract_y
_atom_site_fract_z
Rb1 0.0000 0.0000 0.2037
Zn1 0.0000 0.0000 0.3807
As1 0.0000 0.0000 0.0000
O1 0.0387 0.5194 0.7296
```

Computed properties:
ΔE_f (raw): -1222 meV/atom
DFT total energy: -157.0 eV per cell
ρ: 4.47 g/cm3

***

[5]
## RbZrAsO5 (PBE)

Data for RbZrAsO5 after structural relaxation.

CIF file:
```
data_RbZrAsO5
_chemical_formula_sum 'Rb4 Zr4 As4 O20'
_cell_length_a 7.408
_cell_length_b 9.740
_cell_length_c 7.815
_cell_angle_alpha 90.00
_cell_angle_beta 115.95
_cell_angle_gamma 90.00
_space_group_name_H-M_alt 'C 1 2/c 1'
_space_group_IT_number 15
loop_
_space_group_symop_operation_xyz
'x,y,z'
'-x,-y,-z'
'-x,y,-z+1/2'
'x,-y,z+1/2'
'x+1/2,y+1/2,z'
'-x+1/2,-y+1/2,-z'
'-x+1/2,y+1/2,-z+1/2'
'x+1/2,-y+1/2,z+1/2'
loop_
_atom_site_label
_atom_site_fract_x
_atom_site_fract_y
_atom_site_fract_z
Rb1 0.000 0.169 0.250
Zr1 0.000 0.500 0.000
As1 0.000 0.190 0.750
O1 0.000 0.444 0.250
O2 0.081 0.291 0.615
O3 0.192 0.083 0.897
```

Computed properties:
ΔE_f (raw): -2164 meV/atom
DFT total energy: -225.1 eV per cell
ρ: 4.34 g/cm3

***

[6]
## Rb3ZrAs2O8 (PBE)

Data for Rb3ZrAs2O8 after structural relaxation.

CIF file:
```
data_Rb3ZrAs2O8
_chemical_formula_sum 'Rb3 Zr1 As2 O8'
_cell_length_a 5.9677
_cell_length_b 5.9677
_cell_length_c 8.2285
_cell_angle_alpha 90.00
_cell_angle_beta 90.00
_cell_angle_gamma 120.00
_space_group_name_H-M_alt 'P -3 m 1'
_space_group_IT_number 164
_space_group_name_Hall '-P 3 2"'
loop_
_atom_site_label
_atom_site_fract_x
_atom_site_fract_y
_atom_site_fract_z
Rb1 0.0000 0.0000 0.0000
Rb2 0.3333 0.6667 0.7522
Zr1 0.0000 0.0000 0.5000
As1 0.3333 0.6667 0.2867
O1 0.1657 0.3314 0.3461
O2 0.3333 0.6667 0.0803
```

Computed properties:
ΔE_f (raw): -1840 meV/atom
DFT total energy: -86.2 eV per cell
ρ: 4.09 g/cm3

***

[7]
## Rb2ZrAsO6 (PBE)

Data for Rb2ZrAsO6 after structural relaxation.

CIF file:
```
data_Rb2ZrAsO6
_chemical_formula_sum 'Rb2 Zr1 As1 O6'
_cell_length_a 6.4662
_cell_length_b 6.4662
_cell_length_c 5.4232
_cell_angle_alpha 90.00
_cell_angle_beta 90.00
_cell_angle_gamma 120.00
_space_group_name_H-M_alt 'P -3 m 1'
_space_group_IT_number 164
_space_group_name_Hall '-P 3 2"'
loop_
_atom_site_label
_atom_site_fract_x
_atom_site_fract_y
_atom_site_fract_z
Rb1 0.3333 0.6667 0.1338
Zr1 0.0000 0.0000 0.5000
As1 0.0000 0.0000 0.0000
O1 0.1323 0.2646 0.7863
```

Computed properties:
ΔE_f (raw): -1766 meV/atom
DFT total energy: -62.5 eV per cell
ρ: 3.66 g/cm3

***

[8]
## ReAs2O (PBE)

Data for ReAs2O after structural relaxation.

CIF file:
```
data_ReAs2O
_chemical_formula_sum 'Re4 As8 O4'
_cell_length_a 5.320
_cell_length_b 5.320
_cell_length_c 10.347
_cell_angle_alpha 90.00
_cell_angle_beta 90.00
_cell_angle_gamma 90.00
_space_group_name_H-M_alt 'I -4 2 d'
_space_group_IT_number 122
_space_group_name_Hall 'I -4 2bw'
loop_
_atom_site_label
_atom_site_fract_x
_atom_site_fract_y
_atom_site_fract_z
Re1 0.000 0.000 0.000
As1 0.222 0.250 0.625
O1 0.000 0.000 0.500
```

Computed properties:
ΔE_f (raw): 293 meV/atom
DFT total energy: -102.1 eV per cell
ρ: 7.98 g/cm3